This record from Alexandria describes crystalline AcZnHg2 at its relaxed geometry. The functional is PBE-GGA.

abc: 4.6200 4.9153 4.9153
angles: 90.00 90.00 90.00
Fractional positions:
Ac 0.5000 0.5000 0.5000
Hg 0.0000 0.5000 0.0000
Hg 0.0000 0.0000 0.5000
Zn 0.5000 0.0000 0.0000

Output
E   -6.89 eV/f.u.
Energy of formation from the pure elements   -227 meV per atom
Crystal system   tetragonal
Magnetization   0.00 μB/cell